Entry 1:
Material: Fe2CuPSe
Method: DFT, PBE
State: optimized geometry

Lattice parameters (Å, degrees): 4.5957 4.5957 4.3737 90.00 90.00 90.00
With the nearest neighbours (Å) after each atom.
Element x y z (fractional)
Fe 0.0000 0.5000 0.0000  2 Cu 2.30
Fe 0.5000 0.0000 0.0000  2 Cu 2.30
Cu 0.0000 0.0000 0.0000  2 Se 2.19, 4 Fe 2.30
P 0.5000 0.5000 0.5000  8 Fe 3.17, 4 Se 3.25
Se 0.0000 0.0000 0.5000  2 Cu 2.19

Calculated values
The value obtained for the raw formation energy is 113.32 kJ/mol of atoms. The calculation puts the density of states at the Fermi level at 1.426 states/eV/atom. Its magnetization is 6.0 μB/f.u. Its total energy is -4.81 eV/atom.


Entry 2:
Material: Pa2FeCu
Method: DFT, PBE
State: optimized geometry

Lattice parameters (Å, degrees): 10.1565 10.1565 10.1565 17.07 17.07 17.07
With the nearest neighbours (Å) after each atom.
Element x y z (fractional)
Pa 0.0938 0.0938 0.0938  3 Fe 2.79, 1 Cu 2.82, 6 Pa 3.01
Pa 0.9062 0.9062 0.9062  3 Fe 2.79, 1 Cu 2.82, 6 Pa 3.01
Fe 0.5000 0.5000 0.5000  6 Pa 2.79, 6 Fe 3.01
Cu 0.0000 0.0000 0.0000  2 Pa 2.82, 6 Cu 3.01

Calculated values
The calculation puts the density of states at the Fermi level at 1.551 states/eV/atom. Its magnetization is 0.6 μB/f.u. The value obtained for the distance to the lowest polymorph of the same formula is 430 meV per atom. Its total energy is -7.39 eV/atom. Its formation energy is 0.4942 eV per atom.


Entry 3:
Material: PaFe4Cu
Method: DFT, PBE
State: optimized geometry

Lattice parameters (Å, degrees): 4.9256 4.9256 4.9256 60.00 60.00 60.00
With the nearest neighbours (Å) after each atom.
Element x y z (fractional)
Pa 0.0000 0.0000 0.0000  12 Fe 2.89, 4 Cu 3.02
Fe 0.3753 0.3753 0.3753  6 Fe 2.46-2.47
Fe 0.3753 0.3753 0.8741  6 Fe 2.46-2.47
Fe 0.3753 0.8741 0.3753  6 Fe 2.46-2.47
Fe 0.8741 0.3753 0.3753  6 Fe 2.46-2.47
Cu 0.7500 0.7500 0.7500  12 Fe 2.89, 4 Pa 3.02

Calculated values
The calculation puts the density of states at the Fermi level at 1.212 states/eV/atom. Its magnetization is 7.6 μB/f.u. Its total energy is -7.90 eV/atom. Its formation energy is 0.0044 eV per atom.


Entry 4:
Material: Pa2Fe3Cu2
Method: DFT, PBE
State: optimized geometry

Lattice parameters (Å, degrees): 6.3180 6.3180 4.5583 92.40 92.40 39.41
With the nearest neighbours (Å) after each atom.
Element x y z (fractional)
Pa 0.1407 0.1407 0.3979  2 Fe 2.20-2.41
Pa 0.8593 0.8593 0.6021  2 Fe 2.20-2.41
Fe 0.0000 0.0000 0.0000  2 Pa 2.41, 4 Cu 2.47, 2 Fe 2.56
Fe 0.2056 0.2056 0.8578  1 Pa 2.20
Fe 0.7944 0.7944 0.1422  1 Pa 2.20
Cu 0.4042 0.4042 0.1031  5 Fe 2.47-2.57, 1 Cu 2.50
Cu 0.5958 0.5958 0.8969  5 Fe 2.47-2.57, 1 Cu 2.50

Calculated values
The calculation puts the density of states at the Fermi level at 0.960 states/eV/atom. Its magnetization is 1.2 μB/f.u. Its total energy is -7.63 eV/atom. Its formation energy is -0.1176 eV per atom.


Entry 5:
Material: Pa2FeCu
Method: DFT, PBE
State: optimized geometry

Lattice parameters (Å, degrees): 3.2866 3.2866 7.0484 90.00 90.00 90.00
With the nearest neighbours (Å) after each atom.
Element x y z (fractional)
Pa 0.0000 0.0000 0.2246  4 Fe 2.81, 4 Cu 3.03
Pa 0.0000 0.0000 0.7754  4 Fe 2.81, 4 Cu 3.03
Fe 0.5000 0.5000 0.0000  8 Pa 2.81
Cu 0.5000 0.5000 0.5000  8 Pa 3.03, 4 Cu 3.29

Calculated values
The calculation puts the density of states at the Fermi level at 1.825 states/eV/atom. Its magnetization is 0.0 μB/f.u. The value obtained for the distance to the lowest polymorph of the same formula is 0 meV per atom. Its total energy is -7.82 eV/atom. Its formation energy is 0.0646 eV per atom.


Entry 6:
Material: PaFeCu
Method: DFT, PBE
State: optimized geometry

Lattice parameters (Å, degrees): 9.6646 9.6646 9.6646 21.39 21.39 21.39
With the nearest neighbours (Å) after each atom.
Element x y z (fractional)
Pa 0.0912 0.0912 0.0912  3 Fe 2.46
Pa 0.9088 0.9088 0.9088  3 Fe 2.46
Fe 0.1953 0.1953 0.1953  3 Pa 2.46, 3 Fe 2.63
Fe 0.8047 0.8047 0.8047  3 Pa 2.46, 3 Fe 2.63
Cu 0.3545 0.3545 0.3545  3 Cu 2.39
Cu 0.6455 0.6455 0.6455  3 Cu 2.39

Calculated values
The calculation puts the density of states at the Fermi level at 0.752 states/eV/atom. Its magnetization is 0.0 μB/f.u. The value obtained for the distance to the lowest polymorph of the same formula is 389 meV per atom. Its total energy is -7.12 eV/atom. Its formation energy is 0.2343 eV per atom.


Entry 7:
Material: PaFeCu
Method: DFT, PBE
State: optimized geometry

Lattice parameters (Å, degrees): 4.2278 4.2278 3.3109 90.00 90.00 120.00
With the nearest neighbours (Å) after each atom.
Element x y z (fractional)
Pa 0.0000 0.0000 0.0000  6 Fe 2.95, 6 Cu 2.95
Fe 0.3333 0.6667 0.5000  3 Cu 2.44
Cu 0.6667 0.3333 0.5000  3 Fe 2.44

Calculated values
The calculation puts the density of states at the Fermi level at 2.051 states/eV/atom. Its magnetization is 1.0 μB/f.u. The value obtained for the distance to the lowest polymorph of the same formula is 274 meV per atom. Its total energy is -7.23 eV/atom. Its formation energy is 0.1195 eV per atom.


Entry 8:
Material: PaFeCu
Method: DFT, PBE
State: optimized geometry

Lattice parameters (Å, degrees): 4.6307 4.3860 5.0654 90.00 92.81 90.00
With the nearest neighbours (Å) after each atom.
Element x y z (fractional)
Pa 0.2124 0.2500 0.3534  1 Fe 2.13
Pa 0.7876 0.7500 0.6466  1 Fe 2.13
Fe 0.1794 0.2500 0.7705  1 Pa 2.13
Fe 0.8206 0.7500 0.2295  1 Pa 2.13
Cu 0.3308 0.7500 0.0007  4 Fe 2.50-2.68, 2 Cu 2.70
Cu 0.6692 0.2500 0.9993  4 Fe 2.50-2.68, 2 Cu 2.70

Calculated values
The calculation puts the density of states at the Fermi level at 0.396 states/eV/atom. Its magnetization is 0.0 μB/f.u. The value obtained for the distance to the lowest polymorph of the same formula is 0 meV per atom. Its total energy is -7.51 eV/atom. Its formation energy is -0.1542 eV per atom.


Entry 9:
Material: PaFeCu
Method: DFT, PBE
State: optimized geometry

Lattice parameters (Å, degrees): 5.0947 5.0947 5.0947 141.43 141.43 55.69
With the nearest neighbours (Å) after each atom.
Element x y z (fractional)
Pa 0.0000 0.0000 0.0000  4 Fe 2.65, 1 Cu 2.74
Fe 0.3716 0.3716 0.0000  4 Pa 2.65, 5 Cu 2.86-2.92
Cu 0.6962 0.6962 0.0000  5 Pa 2.74-2.96, 5 Fe 2.86-2.92

Calculated values
The calculation puts the density of states at the Fermi level at 0.999 states/eV/atom. Its magnetization is 0.0 μB/f.u. The value obtained for the distance to the lowest polymorph of the same formula is 318 meV per atom. Its total energy is -7.19 eV/atom. Its formation energy is 0.1637 eV per atom.


Entry 10:
Material: PaFeCu2
Method: DFT, PBE
State: optimized geometry

Lattice parameters (Å, degrees): 4.8833 4.8833 6.8106 90.00 90.00 128.89
With the nearest neighbours (Å) after each atom.
Element x y z (fractional)
Pa 0.0582 0.9418 0.7500  1 Fe 2.13
Pa 0.9418 0.0582 0.2500  1 Fe 2.13
Fe 0.1841 0.8159 0.2500  1 Pa 2.13
Fe 0.8159 0.1841 0.7500  1 Pa 2.13
Cu 0.3515 0.6485 0.5511  3 Fe 2.52-2.53, 2 Cu 2.71
Cu 0.3515 0.6485 0.9489  3 Fe 2.52-2.53, 2 Cu 2.71
Cu 0.6485 0.3515 0.0511  3 Fe 2.52-2.53, 2 Cu 2.71
Cu 0.6485 0.3515 0.4489  3 Fe 2.52-2.53, 2 Cu 2.71

Calculated values
The calculation puts the density of states at the Fermi level at 1.112 states/eV/atom. Its magnetization is 0.2 μB/f.u. Its total energy is -6.62 eV/atom. Its formation energy is -0.0819 eV per atom.


Entry 11:
Material: PaFeCuPt
Method: DFT, PBE
State: optimized geometry

Lattice parameters (Å, degrees): 4.5893 4.5893 4.5893 60.00 60.00 60.00
With the nearest neighbours (Å) after each atom.
Element x y z (fractional)
Pa 0.0000 0.0000 0.0000  4 Fe 2.81, 4 Pt 2.81
Fe 0.7500 0.7500 0.7500  4 Pa 2.81, 4 Cu 2.81
Cu 0.5000 0.5000 0.5000  4 Fe 2.81, 4 Pt 2.81
Pt 0.2500 0.2500 0.2500  4 Pa 2.81, 4 Cu 2.81

Calculated values
The calculation puts the density of states at the Fermi level at 1.367 states/eV/atom. Its magnetization is 1.3 μB/f.u. Its total energy is -7.21 eV/atom. Its formation energy is -0.1907 eV per atom.


Entry 12:
Material: PaFeCuRh
Method: DFT, PBE
State: optimized geometry

Lattice parameters (Å, degrees): 4.4741 4.4741 4.4741 60.00 60.00 60.00
With the nearest neighbours (Å) after each atom.
Element x y z (fractional)
Pa 0.0000 0.0000 0.0000  4 Rh 2.74, 4 Fe 2.74
Fe 0.2500 0.2500 0.2500  4 Cu 2.74, 4 Pa 2.74
Cu 0.5000 0.5000 0.5000  4 Fe 2.74, 4 Rh 2.74
Rh 0.7500 0.7500 0.7500  4 Cu 2.74, 4 Pa 2.74

Calculated values
The calculation puts the density of states at the Fermi level at 0.737 states/eV/atom. Its magnetization is 0.1 μB/f.u. Its total energy is -7.53 eV/atom. Its formation energy is -0.1772 eV per atom.


Entry 13:
Material: PaFeCuRu
Method: DFT, PBE
State: optimized geometry

Lattice parameters (Å, degrees): 4.4561 4.4561 4.4561 60.00 60.00 60.00
With the nearest neighbours (Å) after each atom.
Element x y z (fractional)
Pa 0.0000 0.0000 0.0000  4 Fe 2.73, 4 Ru 2.73
Fe 0.2500 0.2500 0.2500  4 Pa 2.73, 4 Cu 2.73
Cu 0.5000 0.5000 0.5000  4 Ru 2.73, 4 Fe 2.73
Ru 0.7500 0.7500 0.7500  4 Cu 2.73, 4 Pa 2.73

Calculated values
The calculation puts the density of states at the Fermi level at 1.368 states/eV/atom. Its magnetization is 0.9 μB/f.u. Its total energy is -7.87 eV/atom. Its formation energy is -0.0339 eV per atom.


Entry 14:
Material: ScPaFeCu
Method: DFT, PBE
State: optimized geometry

Lattice parameters (Å, degrees): 4.6554 4.6554 4.6554 60.00 60.00 60.00
With the nearest neighbours (Å) after each atom.
Element x y z (fractional)
Sc 0.0000 0.0000 0.0000  4 Fe 2.85, 4 Cu 2.85
Pa 0.5000 0.5000 0.5000  4 Cu 2.85, 4 Fe 2.85
Fe 0.2500 0.2500 0.2500  4 Pa 2.85, 4 Sc 2.85
Cu 0.7500 0.7500 0.7500  4 Pa 2.85, 4 Sc 2.85

Calculated values
The calculation puts the density of states at the Fermi level at 0.998 states/eV/atom. Its magnetization is 0.0 μB/f.u. Its total energy is -7.12 eV/atom. Its formation energy is -0.0253 eV per atom.